(1)
Here is an optimized crystal structure of Cd6CuAu12 from Alexandria via LeMat-Bulk. Energies are from PBE.

Cell lengths 7.4196, 7.4196, 7.4196 Å; angles 83.80, 83.80, 83.80 degrees
Closest atoms and distances in Å follow each position.
Atoms (fractional coordinates):
Au1 0.0919 0.3278 0.0086  1 Cu 2.60, 4 Au 2.76-2.86
Cu1 0.0000 0.0000 0.0000  6 Au 2.60
Cd1 0.4105 0.7423 0.8181  6 Au 2.78-2.99
Au2 0.3461 0.8394 0.4559  4 Cd 2.78-2.92, 4 Au 2.86-2.96
Au3 0.0086 0.0919 0.3278  1 Cu 2.60, 4 Au 2.76-2.86
Au4 0.3278 0.0086 0.0919  1 Cu 2.60, 4 Au 2.76-2.86
Au5 0.6722 0.9914 0.9081  1 Cu 2.60, 4 Au 2.76-2.86
Au6 0.6539 0.1606 0.5441  4 Cd 2.78-2.92, 4 Au 2.86-2.96
Au7 0.9914 0.9081 0.6722  1 Cu 2.60, 4 Au 2.76-2.86
Cd2 0.1819 0.5895 0.2577  6 Au 2.78-2.99
Au8 0.5441 0.6539 0.1606  4 Cd 2.78-2.92, 4 Au 2.86-2.96
Cd3 0.7423 0.8181 0.4105  6 Au 2.78-2.99
Cd4 0.8181 0.4105 0.7423  6 Au 2.78-2.99
Au9 0.4559 0.3461 0.8394  4 Cd 2.78-2.92, 4 Au 2.86-2.96
Au10 0.1606 0.5441 0.6539  4 Cd 2.78-2.92, 4 Au 2.86-2.96
Cd5 0.2577 0.1819 0.5895  6 Au 2.78-2.99
Au11 0.8394 0.4559 0.3461  4 Cd 2.78-2.92, 4 Au 2.86-2.96
Cd6 0.5895 0.2577 0.1819  6 Au 2.78-2.99
Au12 0.9081 0.6722 0.9914  1 Cu 2.60, 4 Au 2.76-2.86

Calculated values
crystal system = trigonal
symmetry = R-3, No. 148
E = -49.74 eV per formula unit
E_form = -0.82 eV per formula unit



(2)
Here is an optimized crystal structure of Hf2MgAuBr from Alexandria via LeMat-Bulk. Energies are from PBE.

Cell lengths 5.2232, 4.7032, 5.2232 Å; angles 90.00, 90.00, 90.00 degrees
Closest atoms and distances in Å follow each position.
Atoms (fractional coordinates):
Br1 0.5000 0.5000 0.5000  8 Hf 3.51, 4 Au 3.69
Hf1 0.0000 0.0000 0.5000  2 Mg 2.61
Au1 0.0000 0.5000 0.0000  2 Mg 2.35
Mg1 0.0000 0.0000 0.0000  2 Au 2.35, 4 Hf 2.61
Hf2 0.5000 0.0000 0.0000  2 Mg 2.61

Calculated values
uncorrected formation energy = 23.159 kcal/mol of atoms
crystal system = tetragonal
symmetry = P4/mmm, No. 123
E = -21.43 eV per formula unit



(3)
Here is an optimized crystal structure of Ho6AgRh5 from Alexandria via LeMat-Bulk. Energies are from PBE.

Cell lengths 4.8738, 8.4374, 8.4374 Å; angles 120.15, 106.76, 106.76 degrees
Closest atoms and distances in Å follow each position.
Atoms (fractional coordinates):
Rh1 0.5000 0.1656 0.8344  8 Ho 2.93-3.01
Rh2 0.0000 0.3339 0.6661  8 Ho 2.94-2.97
Rh3 0.5000 0.8344 0.1656  8 Ho 2.93-3.01
Rh4 0.5000 0.5000 0.5000  8 Ho 2.95-3.01
Ho1 0.7459 0.9163 0.5757  7 Rh 2.93-3.01, 1 Ag 3.04
Ho2 0.7593 0.2590 0.2590  6 Rh 2.94-3.01, 2 Ag 3.01-3.02
Rh5 0.0000 0.6661 0.3339  8 Ho 2.94-2.97
Ag1 0.0000 0.0000 0.0000  8 Ho 3.01-3.04
Ho3 0.2541 0.0837 0.4243  7 Rh 2.93-3.01, 1 Ag 3.04
Ho4 0.2541 0.4243 0.0837  7 Rh 2.93-3.01, 1 Ag 3.04
Ho5 0.7459 0.5757 0.9163  7 Rh 2.93-3.01, 1 Ag 3.04
Ho6 0.2407 0.7410 0.7410  6 Rh 2.94-3.01, 2 Ag 3.01-3.02

Calculated values
crystal system = monoclinic
symmetry = C2/m, No. 12
E = -76.72 eV per formula unit
E_form = -9.65 eV per formula unit